Density functional theory data (PBE with a Hubbard U) for a relaxed structure of RbVF4.

Values from the calculation:
For the distance to the lowest polymorph of the same formula, the calculation gives 12 meV/atom. The density of states at the Fermi level is 0.000 states/eV/atom. The value obtained for the total moment is 4.0 Bohr magnetons per cell. The calculation puts the total energy at -5.5464 eV per atom.

Unit cell a=4.123 b=6.212 c=8.333 alpha=90.00 beta=104.32 gamma=90.00
Site moments in Bohr magnetons follow the coordinates.
Positions (direct):
1 Rb 0.830 0.781 0.659  0.00
2 Rb 0.170 0.281 0.341  0.00
3 V 0.581 0.780 0.162  1.90
4 V 0.419 0.280 0.838  1.90
5 F 0.924 0.280 0.849  0.02
6 F 0.076 0.780 0.151  0.02
7 F 0.500 0.029 0.999  0.00
8 F 0.500 0.529 0.001  0.00
9 F 0.667 0.570 0.334  0.00
10 F 0.333 0.070 0.666  0.00
11 F 0.666 0.993 0.333  0.00
12 F 0.334 0.493 0.667  0.00